1.
Computed, not measured: a relaxed structure of La3Pm2Y at the PBE level of DFT.

Structure (POSCAR):
```
La3Pm2Y
1.0
-5.6558 6.0130 3.5407
5.6558 -6.0130 3.5407
5.6558 6.0130 -3.5407
La Pm Y
6 4 2
Cartesian
5.6558 -2.8819 1.7703
0.0000 0.0000 1.7703
5.6558 2.8819 1.7703
0.0000 3.1311 1.7703
0.0000 0.0000 5.3110
0.0000 8.8949 1.7703
2.7986 2.4334 0.0000
2.7986 -2.4334 3.5407
2.8572 8.4464 0.0000
2.8572 3.5795 3.5407
5.6558 0.0000 0.0000
0.0000 6.0130 0.0000
```

Values from the calculation:
- Density of states at the Fermi level: 10.05 states/eV/f.u.
- Relative energy among the computed polymorphs: 515.2 meV/atom
- E_form: 0.53 eV/atom
- DFT total energy: -55.1 eV for the cell shown
- SG: No. 72

2.
Computed, not measured: a relaxed structure of DyPaTlHg at the PBE level of DFT.

Structure (POSCAR):
```
DyPaTlHg
1.0
0.0000 3.7711 3.7711
3.7711 0.0000 3.7711
3.7711 3.7711 0.0000
Dy Pa Tl Hg
1 1 1 1
Cartesian
0.0000 0.0000 0.0000
3.7711 3.7711 3.7711
1.8855 1.8855 1.8855
5.6566 5.6566 5.6566
```

Values from the calculation:
- Density of states at the Fermi level: 9.72 states/eV/f.u.
- E_form: 0.01 eV/atom
- DFT total energy: -16.7 eV for the cell shown
- SG: No. 216

3.
Computed, not measured: a relaxed structure of LaPr2Co2 at the PBE level of DFT.

Structure (POSCAR):
```
LaPr2Co2
1.0
-2.1841 2.7084 5.6174
2.1841 -2.7084 5.6174
2.1841 2.7084 -5.6174
La Pr Co
1 2 2
Cartesian
0.0000 0.0000 0.0000
0.0000 0.0000 3.6056
0.0000 0.0000 7.6291
2.1841 0.0000 1.4529
0.0000 2.7084 4.1645
```

Values from the calculation:
- Density of states at the Fermi level: 3.71 states/eV/f.u.
- Relative energy among the computed polymorphs: 0.0 meV/atom
- E_form: -0.01 eV/atom
- DFT total energy: -28.8 eV for the cell shown
- SG: No. 71

The highest E_form belongs to which entry?
La3Pm2Y

Repeat the third record exactly.
Computed, not measured: a relaxed structure of LaPr2Co2 at the PBE level of DFT.

Structure (POSCAR):
```
LaPr2Co2
1.0
-2.1841 2.7084 5.6174
2.1841 -2.7084 5.6174
2.1841 2.7084 -5.6174
La Pr Co
1 2 2
Cartesian
0.0000 0.0000 0.0000
0.0000 0.0000 3.6056
0.0000 0.0000 7.6291
2.1841 0.0000 1.4529
0.0000 2.7084 4.1645
```

Values from the calculation:
- Density of states at the Fermi level: 3.71 states/eV/f.u.
- Relative energy among the computed polymorphs: 0.0 meV/atom
- E_form: -0.01 eV/atom
- DFT total energy: -28.8 eV for the cell shown
- SG: No. 71

Which formula does entry 2 have?
DyPaTlHg